Sr6PAu2 | GGA-PBE | relaxed

## Properties
Size of the total moment = 0.00 μB per formula unit
Calculated formation energy = -60 kJ/mol of atoms
V = 41.689 Å³/atom

Geometry as CIF:
```
data_Sr6PAu2
_chemical_formula_sum 'Sr12 P2 Au4'
_symmetry_space_group_name_H-M 'P 1 21/c 1'
_symmetry_Int_Tables_number 14
_cell_length_a 7.820
_cell_length_b 7.260
_cell_length_c 15.358
_cell_angle_alpha 90.00
_cell_angle_beta 120.61
_cell_angle_gamma 90.00
loop_
_symmetry_equiv_pos_as_xyz
'x,y,z'
'-x,-y,-z'
'-x,y+1/2,-z+1/2'
'x,-y+1/2,z+1/2'
loop_
_atom_site_label
_atom_site_fract_x
_atom_site_fract_y
_atom_site_fract_z
Sr1 0.002 0.233 0.338
Sr2 0.324 0.235 0.661
Sr3 0.326 0.732 0.000
P1 0.000 0.000 0.500
Au1 0.323 0.000 0.323
```



CdGa2Ru | GGA-PBE | relaxed

## Properties
Size of the total moment = 0.00 μB per formula unit
Calculated formation energy = 23 kJ/mol of atoms
V = 18.543 Å³/atom

Geometry as CIF:
```
data_CdGa2Ru
_chemical_formula_sum 'Cd4 Ga8 Ru4'
_symmetry_space_group_name_H-M 'I -4 2 d'
_symmetry_Int_Tables_number 122
_symmetry_space_group_name_Hall 'I -4 2bw'
_cell_length_a 4.073
_cell_length_b 4.073
_cell_length_c 17.881
_cell_angle_alpha 90.00
_cell_angle_beta 90.00
_cell_angle_gamma 90.00
loop_
_atom_site_label
_atom_site_fract_x
_atom_site_fract_y
_atom_site_fract_z
Cd1 0.000 0.000 0.000
Ga1 0.200 0.250 0.625
Ru1 0.000 0.000 0.500
```



LaGeBiAu | GGA-PBE | relaxed

## Properties
Size of the total moment = 0.00 μB per formula unit
Calculated formation energy = -44 kJ/mol of atoms
V = 25.680 Å³/atom

Geometry as CIF:
```
data_LaGeBiAu
_chemical_formula_sum 'La4 Ge4 Bi4 Au4'
_symmetry_space_group_name_H-M 'F -4 3 m'
_symmetry_Int_Tables_number 216
_symmetry_space_group_name_Hall 'F -4 2 3'
_cell_length_a 7.434
_cell_length_b 7.434
_cell_length_c 7.434
_cell_angle_alpha 90.00
_cell_angle_beta 90.00
_cell_angle_gamma 90.00
loop_
_atom_site_label
_atom_site_fract_x
_atom_site_fract_y
_atom_site_fract_z
La1 0.000 0.000 0.000
Ge1 0.250 0.250 0.250
Bi1 0.000 0.000 0.500
Au1 0.250 0.250 0.750
```



BaLaBi3 | GGA-PBE | relaxed

## Properties
Offset from the most stable computed form = 0.6427 eV per atom
Size of the total moment = 0.00 μB per formula unit
Calculated formation energy = 37 kJ/mol of atoms
V = 45.329 Å³/atom

Geometry as CIF:
```
data_BaLaBi3
_chemical_formula_sum 'Ba1 La1 Bi3'
_symmetry_space_group_name_H-M 'P m -3 m'
_symmetry_Int_Tables_number 221
_symmetry_space_group_name_Hall '-P 4 2 3'
_cell_length_a 6.097
_cell_length_b 6.097
_cell_length_c 6.097
_cell_angle_alpha 90.00
_cell_angle_beta 90.00
_cell_angle_gamma 90.00
loop_
_atom_site_label
_atom_site_fract_x
_atom_site_fract_y
_atom_site_fract_z
Ba1 0.000 0.000 0.000
La1 0.500 0.500 0.500
Bi1 0.000 0.000 0.500
```



Question: size of the total moment of number 3 (LaGeBiAu)?
Answer: 0.00 μB per formula unit



Question: Which of these has the lowest V?
Answer: CdGa2Ru